Entry from Alexandria: Sm8Ir3PtI4 after structural relaxation (PBE).

abc: 14.5255 8.3941 9.3576
angles: 90.00 121.13 90.00
Closest atoms and distances in Å follow each position.
Space group C2/m (No. 12)
Unique sites:
Sm 0.0239 0.2450 0.3169 [8 per cell]  2 Ir 2.81, 1 Pt 2.87
Sm 0.2278 0.0000 0.6833 [4 per cell]  3 Ir 2.83
Sm 0.2310 0.5000 0.6830 [4 per cell]  2 Ir 2.81, 1 Pt 2.87
Ir 0.0000 0.0000 0.5000 [2 per cell]  6 Sm 2.81-2.83
Ir 0.2500 0.2500 0.5000 [4 per cell]  6 Sm 2.81-2.83
Pt 0.0000 0.5000 0.5000 [2 per cell]  6 Sm 2.87
I 0.0000 0.0000 0.0000 [2 per cell]  6 Sm 3.48
I 0.0000 0.5000 0.0000 [2 per cell]  6 Sm 3.51-3.53
I 0.2500 0.2500 0.0000 [4 per cell]  6 Sm 3.51-3.53

Results
- DFT total energy (eV per atom) = -5.80
- calculated density (g/cm3) = 8.44


Entry from Alexandria: TaIrPt2I after structural relaxation (PBE).

abc: 4.8642 4.8642 4.8268
angles: 90.00 90.00 90.00
Closest atoms and distances in Å follow each position.
Space group P4/mmm (No. 123)
Unique sites:
Ta 0.0000 0.0000 0.0000 [1 per cell]  8 Pt 3.43, 4 Ir 3.44
Ir 0.5000 0.5000 0.0000 [1 per cell]  2 I 2.41
Pt 0.0000 0.5000 0.5000 [2 per cell]  2 I 2.43
I 0.5000 0.5000 0.5000 [1 per cell]  2 Ir 2.41, 4 Pt 2.43

Results
- DFT total energy (eV per atom) = -5.09
- calculated density (g/cm3) = 12.94


Entry from Alexandria: TaIrPtI2 after structural relaxation (PBE).

abc: 5.3721 5.3721 4.9835
angles: 90.00 90.00 90.00
Closest atoms and distances in Å follow each position.
Space group P4/mmm (No. 123)
Unique sites:
Ta 0.0000 0.0000 0.0000 [1 per cell]  2 Pt 2.49, 4 I 2.69
Ir 0.5000 0.5000 0.5000 [1 per cell]  8 I 3.66, 4 Pt 3.80
Pt 0.0000 0.0000 0.5000 [1 per cell]  2 Ta 2.49
I 0.0000 0.5000 0.0000 [2 per cell]  2 Ta 2.69

Results
- DFT total energy (eV per atom) = -4.43
- calculated density (g/cm3) = 9.49


Entry from Alexandria: TeIrPtI2 after structural relaxation (PBE).

abc: 5.4549 5.4549 5.0378
angles: 90.00 90.00 90.00
Closest atoms and distances in Å follow each position.
Space group P4/mmm (No. 123)
Unique sites:
Te 0.0000 0.0000 0.0000 [1 per cell]  2 Ir 2.52
Ir 0.0000 0.0000 0.5000 [1 per cell]  2 Te 2.52, 4 I 2.73
Pt 0.5000 0.5000 0.0000 [1 per cell]  8 I 3.71, 4 Te 3.86
I 0.0000 0.5000 0.5000 [2 per cell]  2 Ir 2.73

Results
- DFT total energy (eV per atom) = -3.20
- calculated density (g/cm3) = 8.52
- polymorph energy (0 for the lowest one) (meV per atom) = 0


Entry from Alexandria: TeIr2PtI after structural relaxation (PBE).

abc: 4.9633 4.9633 4.9970
angles: 90.00 90.00 90.00
Closest atoms and distances in Å follow each position.
Space group P4/mmm (No. 123)
Unique sites:
Te 0.0000 0.0000 0.0000 [1 per cell]  4 Ir 2.48, 2 Pt 2.50
Ir 0.0000 0.5000 0.0000 [2 per cell]  2 Te 2.48
Pt 0.0000 0.0000 0.5000 [1 per cell]  2 Te 2.50
I 0.5000 0.5000 0.5000 [1 per cell]  4 Pt 3.51, 8 Ir 3.52

Results
- DFT total energy (eV per atom) = -4.25
- calculated density (g/cm3) = 11.25


Entry from Alexandria: SmPuIrI after structural relaxation (PBE).

abc: 4.1039 4.1039 24.2302
angles: 90.00 90.00 120.00
Closest atoms and distances in Å follow each position.
Space group R3m (No. 160, hexagonal axes)
Unique sites:
Sm 0.0000 0.0000 0.0000 [3 per cell]  3 Ir 2.86
Pu 0.0000 0.0000 0.7904 [3 per cell]  3 Ir 2.75
Ir 0.0000 0.0000 0.3991 [3 per cell]  3 Pu 2.75, 3 Sm 2.86
I 0.0000 0.0000 0.2301 [3 per cell]  3 Sm 3.44, 3 Pu 3.50

Results
- DFT total energy (eV per atom) = -8.12
- calculated density (g/cm3) = 10.06


Entry from Alexandria: TbPuIrI after structural relaxation (PBE).

abc: 4.0816 4.0816 24.0252
angles: 90.00 90.00 120.00
Closest atoms and distances in Å follow each position.
Space group R3m (No. 160, hexagonal axes)
Unique sites:
Tb 0.0000 0.0000 0.0000 [3 per cell]  3 Ir 2.81
Pu 0.0000 0.0000 0.7896 [3 per cell]  3 Ir 2.75
Ir 0.0000 0.0000 0.3973 [3 per cell]  3 Pu 2.75, 3 Tb 2.81
I 0.0000 0.0000 0.2306 [3 per cell]  3 Tb 3.41, 3 Pu 3.50

Results
- DFT total energy (eV per atom) = -8.10
- calculated density (g/cm3) = 10.38


Entry from Alexandria: YPuIrI after structural relaxation (PBE).

abc: 4.0826 4.0826 23.9758
angles: 90.00 90.00 120.00
Closest atoms and distances in Å follow each position.
Space group R3m (No. 160, hexagonal axes)
Unique sites:
Y 0.0000 0.0000 0.0000 [3 per cell]  3 Ir 2.81
Pu 0.0000 0.0000 0.2104 [3 per cell]  3 Ir 2.75
Ir 0.0000 0.0000 0.6025 [3 per cell]  3 Pu 2.75, 3 Y 2.81
I 0.0000 0.0000 0.7687 [3 per cell]  3 Y 3.40, 3 Pu 3.51

Results
- DFT total energy (eV per atom) = -8.55
- calculated density (g/cm3) = 9.39